The following is a PBE calculation of an optimized crystal structure of Lu2MnPb, from Alexandria via LeMat-Bulk.

**Final energy**: -5.607 eV/atom
**Crystal system**: tetragonal

Geometry as POSCAR:
```
Lu2MnPb
1.0
3.5298 0.0000 0.0000
0.0000 3.5298 0.0000
0.0000 0.0000 7.6504
Pb Lu Mn
1 2 1
Cartesian
1.7649 1.7649 3.8252
0.0000 0.0000 6.0003
0.0000 0.0000 1.6501
1.7649 1.7649 0.0000
```

=====

The following is a PBE calculation of an optimized crystal structure of Lu2MnPd, from Alexandria via LeMat-Bulk.

**Final energy**: -6.185 eV/atom
**Crystal system**: cubic

Geometry as POSCAR:
```
Lu2MnPd
1.0
4.8700 0.0000 0.0000
2.4350 4.2176 0.0000
2.4350 1.4059 3.9763
Mn Lu Pd
1 2 1
Cartesian
0.0000 0.0000 0.0000
2.4350 1.4059 0.9941
7.3050 4.2176 2.9823
4.8700 2.8117 1.9882
```

=====

The following is a PBE calculation of an optimized crystal structure of Lu2MnPd, from Alexandria via LeMat-Bulk.

**Final energy**: -6.266 eV/atom
**Crystal system**: tetragonal

Geometry as POSCAR:
```
Lu2MnPd
1.0
3.4091 0.0000 0.0000
0.0000 3.4091 0.0000
0.0000 0.0000 6.8889
Mn Lu Pd
1 2 1
Cartesian
1.7045 1.7045 0.0000
0.0000 0.0000 5.1735
0.0000 0.0000 1.7154
1.7045 1.7045 3.4444
```

=====

The following is a PBE calculation of an optimized crystal structure of LuMnPdPt, from Alexandria via LeMat-Bulk.

**Final energy**: -6.961 eV/atom
**Crystal system**: cubic

Geometry as POSCAR:
```
LuMnPdPt
1.0
4.6430 0.0000 0.0000
2.3215 4.0209 0.0000
2.3215 1.3403 3.7910
Mn Lu Pt Pd
1 1 1 1
Cartesian
4.6430 2.6806 1.8955
0.0000 0.0000 0.0000
6.9644 4.0209 2.8432
2.3215 1.3403 0.9477
```

=====

Number 1: N(E_F) 1.03 states/eV per atom. Number 2: N(E_F) 1.32 states/eV per atom. Number 3: N(E_F) 1.01 states/eV per atom. Number 4: N(E_F) 0.56 states/eV per atom.